VASP calculation (PBE) on an optimized crystal structure of AgHg2Os.

Crystal system = monoclinic
Magnetic moment = 0.74 μB/f.u.
Energy above the most stable polymorph in this dataset = 70 meV per atom
Energy of formation from the pure elements = 0.653 eV/atom
DOS(E_F) = 4.8 states/eV per cell

a b c (Å): 10.855 2.941 5.033
angles (deg): 90.00 112.16 90.00
Space group Cm (No. 8)
Symmetry-distinct sites (fractional):
Ag (0.000, 0.000, 0.000) x2
Hg (0.241, 0.000, 0.895) x2
Hg (0.472, 0.000, 0.475) x2
Os (0.229, 0.500, 0.400) x2